Record 1
Material: TmScOs
Method: DFT, PBE
State: optimized geometry

Values from the calculation:
The total energy is -23.04 eV per cell. Its density of states at the Fermi level is 0.494 states/eV per atom.

Cell lengths 3.2910, 3.2910, 6.5607 Å; angles 104.53, 104.53, 90.00 degrees
Closest atoms and distances in Å follow each position.
Element x y z (fractional)
Os 0.9442 0.9442 0.8885  4 Sc 2.76, 4 Tm 2.88
Sc 0.3237 0.3237 0.6474  4 Os 2.76
Tm 0.5820 0.5820 0.1641  4 Os 2.88, 1 Sc 3.17


Record 2
Material: Pr5Sm3Tm
Method: DFT, PBE
State: optimized geometry

Values from the calculation:
The total energy is -75.37 eV per cell. Its density of states at the Fermi level is 1.585 states/eV per atom.

Cell lengths 8.1884, 8.1884, 11.7675 Å; angles 72.29, 72.29, 89.79 degrees
Closest atoms and distances in Å follow each position.
Element x y z (fractional)
Pr 0.9685 0.4351 0.3501  3 Sm 3.26-3.57
Sm 0.0000 0.0000 0.5000  2 Tm 3.16, 4 Pr 3.51
Sm 0.0000 0.0000 0.0000  4 Pr 2.94-3.22, 2 Tm 3.03
Pr 0.3044 0.3044 0.9064  3 Sm 3.22-3.41, 1 Pr 3.26, 1 Tm 3.32
Sm 0.7928 0.7928 0.3477  1 Tm 3.13, 3 Pr 3.26-3.35
Sm 0.3803 0.3803 0.1551  1 Tm 3.14, 5 Pr 3.24-3.41, 1 Sm 3.51
Pr 0.4351 0.9685 0.3501  3 Sm 3.26-3.57
Pr 0.5290 0.5290 0.6199  2 Pr 3.17-3.26, 2 Sm 3.24-3.35
Sm 0.6197 0.6197 0.8449  1 Tm 3.14, 5 Pr 3.24-3.41, 1 Sm 3.51
Pr 0.2545 0.7455 0.0000  1 Sm 2.94
Pr 0.0315 0.5649 0.6499  3 Sm 3.26-3.57
Tm 0.0914 0.0914 0.2052  4 Sm 3.03-3.16, 1 Pr 3.32
Pr 0.4710 0.4710 0.3801  2 Pr 3.17-3.26, 2 Sm 3.24-3.35
Tm 0.9086 0.9086 0.7948  4 Sm 3.03-3.16, 1 Pr 3.32
Sm 0.2072 0.2072 0.6523  1 Tm 3.13, 3 Pr 3.26-3.35
Pr 0.7455 0.2545 0.0000  1 Sm 2.94
Pr 0.6956 0.6956 0.0935  3 Sm 3.22-3.41, 1 Pr 3.26, 1 Tm 3.32
Pr 0.5649 0.0315 0.6499  3 Sm 3.26-3.57


Record 3
Material: NaSb4Se6
Method: DFT, PBE
State: optimized geometry

Values from the calculation:
The total energy is -40.03 eV per cell. As for the raw formation energy: -1.31 eV/f.u. Its density of states at the Fermi level is 0.202 states/eV per atom.

Cell lengths 4.3085, 8.8485, 8.8485 Å; angles 120.00, 90.00, 90.00 degrees
Closest atoms and distances in Å follow each position.
Element x y z (fractional)
Sb 0.5000 0.4064 0.2032  6 Se 2.83-3.00
Sb 0.5000 0.7968 0.2032  6 Se 2.83-3.00
Se 0.0000 0.9513 0.4757  5 Sb 2.93-3.00
Se 0.0000 0.5244 0.0487  5 Sb 2.93-3.00
Se 0.0000 0.5244 0.4757  5 Sb 2.93-3.00
Se 0.5000 0.6856 0.8428  2 Sb 2.83
Sb 0.0000 0.3333 0.6667  3 Se 2.93
Se 0.5000 0.1572 0.3144  2 Sb 2.83
Sb 0.5000 0.7968 0.5936  6 Se 2.83-3.00
Na 0.0000 0.0000 0.0000  6 Se 3.23
Se 0.5000 0.1572 0.8428  2 Sb 2.83